A relaxed Nb12FeSn6 crystal, computed with GGA-PBE.

abc: 10.1500 10.1500 12.2990
angles: 90.00 90.00 120.00
Space group R-3 (No. 148, hexagonal axes)
Asymmetric unit:
Nb: 0.0525 0.1825 0.3086 (multiplicity 18)
Nb: 0.0693 0.8474 0.9137 (multiplicity 18)
Fe: 0.0000 0.0000 0.5000 (multiplicity 3)
Sn: 0.0297 0.4409 0.2116 (multiplicity 18)

## Properties
For the volume, the calculation gives 1097.3 Å³/cell. The value obtained for the density of states at the Fermi level is 47.04 states/eV/cell. The value obtained for the formation energy is 0.6 eV per formula unit. The calculation puts the total energy at -8.04 eV/atom.

***

A relaxed NbFeSn3 crystal, computed with GGA-PBE.

abc: 4.900 4.900 4.900
angles: 90.00 90.00 90.00
Space group Pm-3m (No. 221)
Asymmetric unit:
Nb: 0.000 0.000 0.000 (multiplicity 1)
Fe: 0.500 0.500 0.500 (multiplicity 1)
Sn: 0.000 0.500 0.500 (multiplicity 3)

## Properties
For the volume, the calculation gives 117.7 Å³/cell. The value obtained for the density of states at the Fermi level is 8.04 states/eV/cell. The value obtained for the formation energy is 3.7 eV per formula unit. The polymorph energy (0 for the lowest one) comes out at 0.0000 eV/atom. The calculation puts the total energy at -5.37 eV/atom.

***

A relaxed NbFe2Sn crystal, computed with GGA-PBE.

abc: 7.064 7.064 5.522
angles: 90.00 90.00 90.00
Space group I-42d (No. 122)
Asymmetric unit:
Nb: 0.000 0.000 0.000 (multiplicity 4)
Fe: 0.235 0.750 0.125 (multiplicity 8)
Sn: 0.000 0.000 0.500 (multiplicity 4)

## Properties
For the volume, the calculation gives 275.5 Å³/cell. The value obtained for the density of states at the Fermi level is 22.01 states/eV/cell. The value obtained for the formation energy is 2.3 eV per formula unit. The calculation puts the total energy at -7.17 eV/atom.

***

A relaxed NbFeSn2 crystal, computed with GGA-PBE.

abc: 3.154 3.154 15.912
angles: 90.00 90.00 90.00
Space group I4mm (No. 107)
Asymmetric unit:
Nb: 0.000 0.000 0.000 (multiplicity 2)
Fe: 0.000 0.000 0.411 (multiplicity 2)
Sn: 0.000 0.000 0.626 (multiplicity 2)
Sn: 0.000 0.000 0.810 (multiplicity 2)

## Properties
For the volume, the calculation gives 158.3 Å³/cell. The value obtained for the density of states at the Fermi level is 4.21 states/eV/cell. The value obtained for the formation energy is -0.1 eV per formula unit. The polymorph energy (0 for the lowest one) comes out at 0.0000 eV/atom. The calculation puts the total energy at -6.66 eV/atom.

***

A relaxed NbFeSn2 crystal, computed with GGA-PBE.

abc: 9.544 3.169 5.902
angles: 90.00 117.82 90.00
Space group Cm (No. 8)
Asymmetric unit:
Nb: 0.000 0.000 0.000 (multiplicity 2)
Fe: 0.146 0.500 0.340 (multiplicity 2)
Sn: 0.198 0.000 0.752 (multiplicity 2)
Sn: 0.374 0.000 0.356 (multiplicity 2)

## Properties
For the volume, the calculation gives 157.9 Å³/cell. The value obtained for the density of states at the Fermi level is 4.47 states/eV/cell. The value obtained for the formation energy is 0.7 eV per formula unit. The polymorph energy (0 for the lowest one) comes out at 0.2058 eV/atom. The calculation puts the total energy at -6.45 eV/atom.

***

A relaxed NbFeSn2 crystal, computed with GGA-PBE.

abc: 3.0842 3.0842 29.4762
angles: 90.00 90.00 120.00
Space group R-3m (No. 166, hexagonal axes)
Asymmetric unit:
Nb: 0.0000 0.0000 0.0000 (multiplicity 3)
Fe: 0.0000 0.0000 0.5000 (multiplicity 3)
Sn: 0.0000 0.0000 0.0979 (multiplicity 6)

## Properties
For the volume, the calculation gives 242.8 Å³/cell. The value obtained for the density of states at the Fermi level is 15.40 states/eV/cell. The value obtained for the formation energy is 1.9 eV per formula unit. The polymorph energy (0 for the lowest one) comes out at 0.5028 eV/atom. The calculation puts the total energy at -6.16 eV/atom.

***

A relaxed NbFeSnTe2 crystal, computed with GGA-PBE.

abc: 5.595 5.595 4.636
angles: 90.00 90.00 90.00
Space group P4/mmm (No. 123)
Asymmetric unit:
Nb: 0.000 0.000 0.000 (multiplicity 1)
Fe: 0.500 0.500 0.000 (multiplicity 1)
Sn: 0.500 0.500 0.500 (multiplicity 1)
Te: 0.000 0.500 0.500 (multiplicity 2)

## Properties
For the formation energy from raw total energies, the calculation gives 1.628 eV per atom. For the volume, the calculation gives 145.1 Å³/cell. The value obtained for the density of states at the Fermi level is 10.06 states/eV/cell. The calculation puts the total energy at -4.14 eV/atom.

***

A relaxed Nb2VFeSn crystal, computed with GGA-PBE.

abc: 4.701 4.701 4.301
angles: 90.00 90.00 90.00
Space group P4/mmm (No. 123)
Asymmetric unit:
Nb: 0.000 0.500 0.000 (multiplicity 2)
V: 0.000 0.000 0.000 (multiplicity 1)
Fe: 0.000 0.000 0.500 (multiplicity 1)
Sn: 0.500 0.500 0.500 (multiplicity 1)

## Properties
For the volume, the calculation gives 95.0 Å³/cell. The value obtained for the density of states at the Fermi level is 4.70 states/eV/cell. The value obtained for the formation energy is 4.0 eV per formula unit. The calculation puts the total energy at -7.54 eV/atom.

***

A relaxed SrNb3Fe crystal, computed with GGA-PBE.

abc: 4.791 4.791 4.791
angles: 90.00 90.00 90.00
Space group Pm-3m (No. 221)
Asymmetric unit:
Sr: 0.000 0.000 0.000 (multiplicity 1)
Nb: 0.000 0.500 0.500 (multiplicity 3)
Fe: 0.500 0.500 0.500 (multiplicity 1)

## Properties
For the volume, the calculation gives 110.0 Å³/cell. The value obtained for the density of states at the Fermi level is 6.17 states/eV/cell. The value obtained for the formation energy is 3.7 eV per formula unit. The polymorph energy (0 for the lowest one) comes out at 0.0000 eV/atom. The calculation puts the total energy at -7.33 eV/atom.

***

A relaxed SrNb3Fe crystal, computed with GGA-PBE.

abc: 4.778 4.778 4.778
angles: 90.00 90.00 90.00
Space group Pm-3m (No. 221)
Asymmetric unit:
Sr: 0.000 0.000 0.000 (multiplicity 1)
Nb: 0.000 0.000 0.500 (multiplicity 3)
Fe: 0.500 0.500 0.500 (multiplicity 1)

## Properties
For the volume, the calculation gives 109.1 Å³/cell. The value obtained for the density of states at the Fermi level is 14.83 states/eV/cell. The value obtained for the formation energy is 15.1 eV per formula unit. The polymorph energy (0 for the lowest one) comes out at 2.2808 eV/atom. The calculation puts the total energy at -5.05 eV/atom.

***

A relaxed Sr3NbFe crystal, computed with GGA-PBE.

abc: 5.795 5.795 5.795
angles: 90.00 90.00 90.00
Space group Pm-3m (No. 221)
Asymmetric unit:
Sr: 0.000 0.000 0.500 (multiplicity 3)
Nb: 0.000 0.000 0.000 (multiplicity 1)
Fe: 0.500 0.500 0.500 (multiplicity 1)

## Properties
For the volume, the calculation gives 194.6 Å³/cell. The value obtained for the density of states at the Fermi level is 28.38 states/eV/cell. The value obtained for the formation energy is 8.6 eV per formula unit. The polymorph energy (0 for the lowest one) comes out at 0.5136 eV/atom. The calculation puts the total energy at -2.99 eV/atom.

***

A relaxed Sr2NbFe crystal, computed with GGA-PBE.

abc: 7.467 7.467 7.467
angles: 90.00 90.00 90.00
Space group Fm-3m (No. 225)
Asymmetric unit:
Sr: 0.250 0.250 0.250 (multiplicity 8)
Nb: 0.000 0.000 0.000 (multiplicity 4)
Fe: 0.000 0.000 0.500 (multiplicity 4)

## Properties
For the volume, the calculation gives 416.3 Å³/cell. The value obtained for the density of states at the Fermi level is 66.62 states/eV/cell. The value obtained for the formation energy is 6.0 eV per formula unit. The calculation puts the total energy at -3.97 eV/atom.

***

A relaxed SrNbFe2 crystal, computed with GGA-PBE.

abc: 4.879 4.879 16.267
angles: 90.00 90.00 90.00
Space group I4_1/amd (No. 141, origin choice 2)
Asymmetric unit:
Sr: 0.000 0.250 0.375 (multiplicity 4)
Nb: 0.000 0.250 0.875 (multiplicity 4)
Fe: 0.000 0.000 0.000 (multiplicity 8)

## Properties
For the volume, the calculation gives 387.2 Å³/cell. The value obtained for the density of states at the Fermi level is 12.04 states/eV/cell. The value obtained for the formation energy is 3.4 eV per formula unit. The polymorph energy (0 for the lowest one) comes out at 0.0000 eV/atom. The calculation puts the total energy at -6.32 eV/atom.

***

A relaxed SrNbFe2 crystal, computed with GGA-PBE.

abc: 6.478 6.478 6.478
angles: 90.00 90.00 90.00
Space group Fm-3m (No. 225)
Asymmetric unit:
Sr: 0.000 0.000 0.000 (multiplicity 4)
Nb: 0.000 0.000 0.500 (multiplicity 4)
Fe: 0.250 0.250 0.250 (multiplicity 8)

## Properties
For the volume, the calculation gives 271.9 Å³/cell. The value obtained for the density of states at the Fermi level is 16.19 states/eV/cell. The value obtained for the formation energy is 3.5 eV per formula unit. The polymorph energy (0 for the lowest one) comes out at 0.0125 eV/atom. The calculation puts the total energy at -6.30 eV/atom.